[1]
Material: V13W2
Method: DFT, PBE
State: relaxed

Cell and atoms, written as POSCAR:
```
V13W2
1.0
3.3314 1.9234 6.5496
-3.3314 1.9234 6.5496
0.0000 -3.8468 6.5496
V W
13 2
Cartesian
0.0000 0.0000 0.0000 V
0.0000 -1.4809 4.8454 V
-1.2825 0.7405 4.8454 V
0.0000 -1.5200 7.3829 V
-1.3163 0.7600 7.3829 V
-1.3163 -0.7600 12.2658 V
-1.2825 -0.7405 14.8033 V
1.2825 0.7405 4.8454 V
1.3163 0.7600 7.3829 V
1.3163 -0.7600 12.2658 V
0.0000 1.5200 12.2658 V
1.2825 -0.7405 14.8033 V
0.0000 1.4809 14.8033 V
0.0000 0.0000 2.5915 W
0.0000 0.0000 17.0572 W
```

Calculated values
ρ (g cm⁻³): 6.79
Final energy (eV per atom): -8.8715
DOS(E_F) (states/eV/atom): 1.26


[2]
Material: VW5
Method: DFT, PBE
State: relaxed

Cell and atoms, written as POSCAR:
```
VW5
1.0
2.2380 -6.6801 0.0000
2.2380 6.6801 0.0000
0.0000 0.0000 3.1566
V W
1 5
Cartesian
0.0000 0.0000 0.0000 V
2.2380 4.4812 1.5783 W
2.2380 2.2165 0.0000 W
2.2380 0.0000 1.5783 W
2.2380 -2.2165 0.0000 W
2.2380 -4.4812 1.5783 W
```

Calculated values
Distance to the lowest polymorph of the same formula (meV/atom): 0
ρ (g cm⁻³): 17.07
Final energy (eV per atom): -12.3766
DOS(E_F) (states/eV/atom): 0.40